SmFe2MoO6 (PBE+U, optimized geometry); SG = P1 (1); final energy = -7.25 eV/atom; calculated volume = 12.69 Å³/atom; size of the total moment = 8.943 μB/f.u.
1.0
5.4689 0.0477 -0.0291
2.7766 4.7766 -0.1080
2.7237 1.5127 4.8381
O Fe Mo Sm
6 2 1 1
Direct
0.1384 0.3871 0.7664
0.5900 0.2305 0.2460
0.3923 0.7043 0.7593
0.7010 0.1449 0.7725
0.9525 0.5751 0.2363
0.2413 0.9442 0.2321
0.0224 0.0209 0.9450
0.5100 0.5236 0.4305
0.3100 0.3194 0.0458
0.8036 0.8114 0.5813